The following is a PBE-GGA calculation of crystalline Li3Ta at its relaxed geometry, from Alexandria via LeMat-Bulk.

It has space group Cmcm (No. 63), with a = 5.8835 Å, b = 10.6970 Å, c = 4.5786 Å, α = 90.00°, β = 90.00° and γ = 90.00°. The asymmetric unit holds Li at (0.0000, 0.0633, 0.2500), Li at (0.2477, 0.3210, 0.2500) and Ta at (0.0000, 0.4501, 0.7500).

As for the total magnetic moment: 0.001 μB/cell. As for the energy relative to the elements: 0.455 eV/atom.

The following is a PBE-GGA calculation of crystalline La2HgW at its relaxed geometry, from Alexandria via LeMat-Bulk.

It has space group Cmm2 (No. 35), with a = 3.7460 Å, b = 5.1603 Å, c = 10.7780 Å, α = 90.00°, β = 90.00° and γ = 90.00°. The asymmetric unit holds La at (0.0000, 0.0000, 0.0000), La at (0.0000, 0.5000, 0.3369), Hg at (0.0000, 0.5000, 0.7522) and W at (0.0000, 0.0000, 0.5498).

As for the total magnetic moment: 0.000 μB/cell. As for the energy relative to the elements: 0.568 eV/atom.

The following is a PBE-GGA calculation of crystalline Cu2NiI8 at its relaxed geometry, from Alexandria via LeMat-Bulk.

It has space group C2/m (No. 12), with a = 12.0768 Å, b = 11.8578 Å, c = 7.1295 Å, α = 90.00°, β = 110.21° and γ = 90.00°. The asymmetric unit holds Cu at (0.2012, 0.0000, 0.2122), Ni at (0.0000, 0.0000, 0.5000), I at (0.0754, 0.5000, 0.7179), I at (0.1006, 0.1526, 0.3591) and I at (0.2095, 0.0000, 0.8608).

As for the total magnetic moment: 0.000 μB/cell. The uncorrected formation energy comes out at -4.3 kJ/mol of atoms.